Entry 1:
A plane-wave DFT calculation with GGA-PBE was carried out for TaZn2O after structural relaxation.

Unit cell a=7.3707 b=7.3707 c=4.2274 alpha=90.00 beta=90.00 gamma=90.00
Space group I-42d (No. 122)
Inequivalent atoms, fractional coordinates:
Ta (0.0000, 0.0000, 0.0000)
Zn (0.1808, 0.2500, 0.6250)
O (0.0000, 0.0000, 0.5000)

Calculated values
Electronic total energy in eV/atom: -5.0630
Excess energy over the best structure of this formula in the dataset in meV per atom: 0
Formation energy without anion corrections in eV per atom: -0.22

***

Entry 2:
A plane-wave DFT calculation with GGA-PBE was carried out for Ta2Zn4O9 after structural relaxation.

Unit cell a=5.2441 b=5.2441 c=14.3492 alpha=90.00 beta=90.00 gamma=120.00
Space group P-3c1 (No. 165)
Inequivalent atoms, fractional coordinates:
Ta (0.0000, 0.0000, 0.1410)
Zn (0.3333, 0.6667, 0.0160)
Zn (0.3333, 0.6667, 0.3001)
O (0.0000, 0.2842, 0.2500)
O (0.0215, 0.3393, 0.9158)

Calculated values
Electronic total energy in eV/atom: -6.9392
Excess energy over the best structure of this formula in the dataset in meV per atom: 16
Formation energy without anion corrections in eV per atom: -2.04

***

Entry 3:
A plane-wave DFT calculation with GGA-PBE was carried out for Ta2ZnO6 after structural relaxation.

Unit cell a=4.7587 b=17.3633 c=5.1153 alpha=90.00 beta=90.00 gamma=90.00
Space group Pbcn (No. 60)
Inequivalent atoms, fractional coordinates:
Ta (0.0000, 0.0559, 0.2500)
Ta (0.0000, 0.2808, 0.7500)
Zn (0.0000, 0.3982, 0.2500)
O (0.2169, 0.0353, 0.5720)
O (0.2297, 0.3718, 0.6010)
O (0.2401, 0.2882, 0.0723)

Calculated values
Electronic total energy in eV/atom: -8.6086
Excess energy over the best structure of this formula in the dataset in meV per atom: 0
Formation energy without anion corrections in eV per atom: -2.53

***

Entry 4:
A plane-wave DFT calculation with GGA-PBE was carried out for TaZnO3 after structural relaxation.

Unit cell a=3.9633 b=3.9633 c=3.9633 alpha=90.00 beta=90.00 gamma=90.00
Space group Pm-3m (No. 221)
Inequivalent atoms, fractional coordinates:
Ta (0.0000, 0.0000, 0.0000)
Zn (0.5000, 0.5000, 0.5000)
O (0.0000, 0.0000, 0.5000)

Calculated values
Electronic total energy in eV/atom: -7.5064
Formation energy without anion corrections in eV per atom: -1.91

***

Entry 5:
A plane-wave DFT calculation with GGA-PBE was carried out for ZrTaO4 after structural relaxation.

Unit cell a=6.9549 b=6.9549 c=6.3007 alpha=90.00 beta=90.00 gamma=90.00
Space group I4_1md (No. 109)
Inequivalent atoms, fractional coordinates:
Zr (0.0000, 0.0000, 0.0000)
Ta (0.0000, 0.0000, 0.4994)
O (0.0000, 0.2944, 0.5176)
O (0.0000, 0.3022, 0.9866)

Calculated values
Electronic total energy in eV/atom: -9.6114
Formation energy without anion corrections in eV per atom: -2.91

***

Entry 6:
A plane-wave DFT calculation with GGA-PBE was carried out for ZrTa2O after structural relaxation.

Unit cell a=7.3882 b=7.3882 c=4.8079 alpha=90.00 beta=90.00 gamma=90.00
Space group I-42d (No. 122)
Inequivalent atoms, fractional coordinates:
Zr (0.0000, 0.0000, 0.0000)
Ta (0.1348, 0.2500, 0.6250)
O (0.0000, 0.0000, 0.5000)

Calculated values
Electronic total energy in eV/atom: -9.9837
Formation energy without anion corrections in eV per atom: -0.68

***

Entry 7:
A plane-wave DFT calculation with GGA-PBE was carried out for Zr3TaO after structural relaxation.

Unit cell a=4.5021 b=4.5021 c=4.5021 alpha=90.00 beta=90.00 gamma=90.00
Space group Pm-3m (No. 221)
Inequivalent atoms, fractional coordinates:
Zr (0.0000, 0.0000, 0.5000)
Ta (0.5000, 0.5000, 0.5000)
O (0.0000, 0.0000, 0.0000)

Calculated values
Electronic total energy in eV/atom: -9.4796
Excess energy over the best structure of this formula in the dataset in meV per atom: 0
Formation energy without anion corrections in eV per atom: -0.99

***

Entry 8:
A plane-wave DFT calculation with GGA-PBE was carried out for Zr2TaO after structural relaxation.

Unit cell a=3.0431 b=3.0431 c=26.0795 alpha=90.00 beta=90.00 gamma=120.00
Space group R-3m (No. 166, hexagonal axes)
Inequivalent atoms, fractional coordinates:
Zr (0.0000, 0.0000, 0.1076)
Ta (0.0000, 0.0000, 0.0000)
O (0.0000, 0.0000, 0.5000)

Calculated values
Electronic total energy in eV/atom: -9.2746
Formation energy without anion corrections in eV per atom: -0.80